This record from Alexandria via LeMat-Bulk describes a relaxed CePmSi4 crystal. The functional is PBE-GGA.

## Properties
**Total energy**: -5.751 eV/atom
**Formation energy (no corrections)**: -0.355 eV/atom
**Density of states at the Fermi level**: 5.20 states/eV per cell
**Calculated density**: 6.0 Mg/m³

Geometry as POSCAR:
```
CePmSi4
1.0
-0.084 5.363 0.492
-3.186 2.948 -3.190
-4.338 2.449 2.048
Si Pm Ce
4 1 1
Direct
0.626 0.626 0.626 Si
0.626 0.122 0.626 Si
0.122 0.626 0.626 Si
0.626 0.626 0.122 Si
0.000 0.000 0.000 Pm
0.250 0.250 0.250 Ce
```



This record from Alexandria via LeMat-Bulk describes a relaxed Ce2PmSi crystal. The functional is PBE-GGA.

## Properties
**Total energy**: -5.842 eV/atom
**Formation energy (no corrections)**: -0.332 eV/atom
**Density of states at the Fermi level**: 18.51 states/eV per cell
**Calculated density**: 6.9 Mg/m³

Geometry as POSCAR:
```
Ce2PmSi
1.0
3.952 0.000 0.000
-1.976 5.569 0.000
0.000 0.000 9.910
Pm Si Ce
2 2 4
Direct
0.048 0.097 0.750 Pm
0.952 0.903 0.250 Pm
0.759 0.518 0.750 Si
0.241 0.482 0.250 Si
0.333 0.667 0.969 Ce
0.333 0.667 0.531 Ce
0.667 0.333 0.469 Ce
0.667 0.333 0.031 Ce
```



This record from Alexandria via LeMat-Bulk describes a relaxed CePm2Si crystal. The functional is PBE-GGA.

## Properties
**Total energy**: -5.504 eV/atom
**Formation energy (no corrections)**: -0.289 eV/atom
**Density of states at the Fermi level**: 17.48 states/eV per cell
**Calculated density**: 6.6 Mg/m³

Geometry as POSCAR:
```
CePm2Si
1.0
-2.281 -1.832 2.849
4.666 -3.970 -1.747
5.509 3.533 6.681
Pm Si Ce
4 2 2
Direct
0.142 0.284 0.053 Pm
0.858 0.716 0.553 Pm
0.142 0.284 0.447 Pm
0.858 0.716 0.947 Pm
0.750 0.499 0.250 Si
0.250 0.501 0.750 Si
0.431 0.863 0.250 Ce
0.569 0.137 0.750 Ce
```



This record from Alexandria via LeMat-Bulk describes a relaxed Ce2PmSi crystal. The functional is PBE-GGA.

## Properties
**Total energy**: -5.899 eV/atom
**Formation energy (no corrections)**: -0.389 eV/atom
**Density of states at the Fermi level**: 14.49 states/eV per cell
**Calculated density**: 7.3 Mg/m³

Geometry as POSCAR:
```
Ce2PmSi
1.0
4.296 0.000 0.000
0.000 4.269 -0.820
0.000 0.030 11.172
Ce Pm Si
4 2 2
Direct
0.250 0.983 0.874 Ce
0.750 0.017 0.126 Ce
0.250 0.604 0.124 Ce
0.750 0.396 0.876 Ce
0.750 0.701 0.395 Pm
0.250 0.299 0.605 Pm
0.750 0.823 0.675 Si
0.250 0.177 0.325 Si
```



This record from Alexandria via LeMat-Bulk describes a relaxed CePm6Si4 crystal. The functional is PBE-GGA.

## Properties
**Total energy**: -5.537 eV/atom
**Formation energy (no corrections)**: -0.435 eV/atom
**Density of states at the Fermi level**: 17.67 states/eV per cell
**Calculated density**: 6.2 Mg/m³

Geometry as POSCAR:
```
CePm6Si4
1.0
4.069 0.000 0.000
0.000 9.239 0.000
0.000 -4.620 8.001
Si Ce Pm
4 1 6
Direct
0.500 0.326 0.163 Si
0.500 0.837 0.163 Si
0.500 0.837 0.674 Si
0.000 0.333 0.667 Si
0.000 0.000 0.000 Ce
0.500 0.608 0.804 Pm
0.500 0.196 0.392 Pm
0.000 0.541 0.082 Pm
0.000 0.541 0.459 Pm
0.000 0.918 0.459 Pm
0.500 0.196 0.804 Pm
```



This record from Alexandria via LeMat-Bulk describes a relaxed Ce3PmSi2 crystal. The functional is PBE-GGA.

## Properties
**Total energy**: -5.993 eV/atom
**Formation energy (no corrections)**: -0.427 eV/atom
**Density of states at the Fermi level**: 25.51 states/eV per cell
**Calculated density**: 6.9 Mg/m³

Geometry as POSCAR:
```
Ce3PmSi2
1.0
4.476 0.000 0.000
-2.238 9.346 -0.171
0.000 -4.300 7.269
Si Ce Pm
4 6 2
Direct
0.253 0.506 0.778 Si
0.490 0.980 0.844 Si
0.510 0.020 0.156 Si
0.747 0.494 0.222 Si
0.051 0.102 0.429 Ce
0.313 0.627 0.492 Ce
0.949 0.898 0.571 Ce
0.649 0.298 0.794 Ce
0.351 0.702 0.206 Ce
0.687 0.373 0.508 Ce
0.888 0.776 0.917 Pm
0.112 0.224 0.083 Pm
```



This record from Alexandria via LeMat-Bulk describes a relaxed CePm2Si crystal. The functional is PBE-GGA.

## Properties
**Total energy**: -5.142 eV/atom
**Formation energy (no corrections)**: 0.073 eV/atom
**Density of states at the Fermi level**: 8.30 states/eV per cell
**Calculated density**: 6.1 Mg/m³

Geometry as POSCAR:
```
CePm2Si
1.0
3.634 0.000 0.000
1.817 3.147 0.000
1.817 1.049 10.862
Si Ce Pm
1 1 2
Direct
0.500 0.500 0.500 Si
0.000 0.000 0.000 Ce
0.894 0.894 0.317 Pm
0.106 0.106 0.683 Pm
```



This record from Alexandria via LeMat-Bulk describes a relaxed Ce2PmSi crystal. The functional is PBE-GGA.

## Properties
**Total energy**: -5.777 eV/atom
**Formation energy (no corrections)**: -0.267 eV/atom
**Density of states at the Fermi level**: 10.21 states/eV per cell
**Calculated density**: 6.9 Mg/m³

Geometry as POSCAR:
```
Ce2PmSi
1.0
-1.848 3.191 -1.119
-0.660 -1.591 -3.447
-6.304 -2.777 2.489
Pm Si Ce
1 1 2
Direct
0.500 0.500 0.000 Pm
0.500 0.500 0.500 Si
0.000 0.000 0.685 Ce
0.000 0.000 0.315 Ce
```